A plane-wave DFT calculation with PBE was carried out for YEr2Hg after structural relaxation.

Energy above the lowest structure with this stoichiometry: 92 meV per atom
Calculated volume: 27.39 Å³/atom
Formation enthalpy at 0 K: -156.6 meV/atom
Calculated total energy: -0.1518 Ha/atom

Unit cell a=4.7842 b=4.7842 c=4.7871 alpha=90.00 beta=90.00 gamma=90.00
Space group P4/mmm (No. 123)
Symmetry-distinct sites (fractional):
Y 0.0000 0.0000 0.0000 (multiplicity 1)
Er 0.0000 0.5000 0.5000 (multiplicity 2)
Hg 0.5000 0.5000 0.0000 (multiplicity 1)